# Li3TiV3O8, relaxed, DFT GGA+U
data_Li3TiV3O8
_chemical_formula_sum 'Li6 Ti2 V6 O16'
_symmetry_space_group_name_H-M 'P 1'
_symmetry_Int_Tables_number 1
_cell_length_a 5.910
_cell_length_b 5.910
_cell_length_c 9.669
_cell_angle_alpha 90.00
_cell_angle_beta 90.00
_cell_angle_gamma 120.00
loop_
_symmetry_equiv_pos_as_xyz
'x,y,z'
loop_
_atom_site_label
_atom_site_type_symbol
_atom_site_fract_x
_atom_site_fract_y
_atom_site_fract_z
_atom_site_occupancy
Li1 Li 0.175 0.349 0.000 1
Li2 Li 0.175 0.825 0.000 1
Li3 Li 0.349 0.175 0.500 1
Li4 Li 0.651 0.825 0.000 1
Li5 Li 0.825 0.175 0.500 1
Li6 Li 0.825 0.651 0.500 1
Ti1 Ti 0.333 0.667 0.448 1
Ti2 Ti 0.667 0.333 0.948 1
V1 V 0.169 0.338 0.728 1
V2 V 0.169 0.831 0.728 1
V3 V 0.338 0.169 0.228 1
V4 V 0.662 0.831 0.728 1
V5 V 0.831 0.169 0.228 1
V6 V 0.831 0.662 0.228 1
O1 O 0.000 0.000 0.120 1
O2 O 0.000 0.000 0.620 1
O3 O 0.035 0.517 0.597 1
O4 O 0.167 0.334 0.354 1
O5 O 0.167 0.833 0.354 1
O6 O 0.333 0.667 0.843 1
O7 O 0.334 0.167 0.854 1
O8 O 0.483 0.517 0.597 1
O9 O 0.483 0.965 0.597 1
O10 O 0.517 0.035 0.097 1
O11 O 0.517 0.483 0.097 1
O12 O 0.666 0.833 0.354 1
O13 O 0.667 0.333 0.343 1
O14 O 0.833 0.167 0.854 1
O15 O 0.833 0.666 0.854 1
O16 O 0.965 0.483 0.097 1
# Space group ... P6_3mc (186)
# Excess energy over the best structure of this formula in the dataset ... 0.0151 eV/atom